Entry from Alexandria: a geometry-optimized Pm4Nd7Th structure (GGA-PBE).

Calculated values
The energy above the most stable polymorph in this dataset is 0.13 kcal/mol of atoms. The energy of formation is 24 meV/atom.

Unit cell a=6.394 b=7.365 c=9.150 alpha=89.97 beta=76.44 gamma=89.96
Space group P-1 (No. 2)
One atom of each set of equivalent atoms:
Pm (0.222, 0.000, 0.336)
Pm (0.275, 0.253, 0.672)
Nd (0.000, 0.000, 0.000)
Nd (0.217, 0.500, 0.327)
Nd (0.276, 0.746, 0.671)
Nd (0.500, 0.255, 0.000)
Th (0.000, 0.500, 0.000)